Record 1
A plane-wave DFT calculation with PBE-GGA was carried out for a relaxed SrLa2Br crystal.

The structure in extended XYZ format:
```
4
Lattice="3.778 0.000 0.000 0.000 3.778 0.000 0.000 0.000 10.257" Properties=species:S:1:pos:R:3 pbc="T T T"
Sr 0.000 0.000 5.473
Br 1.889 1.889 7.656
La 0.000 0.000 10.085
La 1.889 1.889 2.428
```

Its density of states at the Fermi level is 4.4 states/eV/cell. The symmetry is P4mm. The value obtained for the energy above the most stable polymorph in this dataset is 0.073 eV/atom. The calculation puts the uncorrected formation energy at -559 meV per atom. The total DFT energy (no corrections) comes out at -15.4 eV/cell.

---

Record 2
A plane-wave DFT calculation with PBE-GGA was carried out for a relaxed SrLaBr3 crystal.

The structure in extended XYZ format:
```
5
Lattice="5.899 0.000 0.000 0.000 5.899 0.000 0.000 0.000 5.899" Properties=species:S:1:pos:R:3 pbc="T T T"
Sr 2.949 2.949 2.949
Br 0.000 2.949 0.000
Br 0.000 0.000 2.949
Br 2.949 0.000 0.000
La 0.000 0.000 0.000
```

Its density of states at the Fermi level is 6.8 states/eV/cell. The symmetry is Pm-3m. The calculation puts the uncorrected formation energy at -1316 meV per atom. The total DFT energy (no corrections) comes out at -18.2 eV/cell.

---

Record 3
A plane-wave DFT calculation with PBE-GGA was carried out for a relaxed SrLa3Br crystal.

The structure in extended XYZ format:
```
5
Lattice="-0.162 5.217 3.063 -3.187 -2.678 4.393 5.142 -1.495 2.819" Properties=species:S:1:pos:R:3 pbc="T T T"
Sr 0.000 0.000 0.000
Br 0.897 0.522 5.137
La -1.593 -1.339 2.196
La 2.571 -0.747 1.409
La -0.081 2.609 1.531
```

Its density of states at the Fermi level is 10.8 states/eV/cell. The symmetry is Pm-3m. The value obtained for the energy above the most stable polymorph in this dataset is 1.088 eV/atom. The calculation puts the uncorrected formation energy at 720 meV per atom. The total DFT energy (no corrections) comes out at -14.5 eV/cell.

---

Record 4
A plane-wave DFT calculation with PBE-GGA was carried out for a relaxed SrLaBr2 crystal.

The structure in extended XYZ format:
```
4
Lattice="9.649 -0.011 -0.006 8.853 3.837 -0.006 8.853 1.831 3.372" Properties=species:S:1:pos:R:3 pbc="T T T"
Sr 20.516 4.243 2.519
Br 27.252 5.635 3.346
Br 13.781 2.850 1.692
La 6.839 1.414 0.840
```

Its density of states at the Fermi level is 2.5 states/eV/cell. The symmetry is R-3m. The value obtained for the energy above the most stable polymorph in this dataset is 0.021 eV/atom. The calculation puts the uncorrected formation energy at -1304 meV per atom. The total DFT energy (no corrections) comes out at -15.2 eV/cell.

---

Record 5
A plane-wave DFT calculation with PBE-GGA was carried out for a relaxed SrLaBr crystal.

The structure in extended XYZ format:
```
3
Lattice="-8.404 -0.468 -2.215 -6.276 -1.782 -5.184 -1.682 -2.767 2.142" Properties=species:S:1:pos:R:3 pbc="T T T"
Sr -6.208 -2.587 -1.180
Br -14.675 -2.251 -7.395
La -10.159 -2.430 -4.080
```

Its density of states at the Fermi level is 1.2 states/eV/cell. The symmetry is Fmm2. The value obtained for the energy above the most stable polymorph in this dataset is 0.059 eV/atom. The calculation puts the uncorrected formation energy at -787 meV per atom. The total DFT energy (no corrections) comes out at -10.6 eV/cell.

---

Record 6
A plane-wave DFT calculation with PBE-GGA was carried out for a relaxed SrLa2Br crystal.

The structure in extended XYZ format:
```
8
Lattice="-6.935 3.950 5.354 2.569 -5.544 7.418 -0.073 1.536 7.399" Properties=species:S:1:pos:R:3 pbc="T T T"
Sr 0.000 0.000 0.000
Sr -4.596 2.345 9.569
Br -2.183 -0.797 6.386
Br 0.157 -2.402 10.602
La -3.527 1.872 5.733
La 0.215 -2.300 7.545
La -1.505 0.151 10.879
La -4.062 0.161 16.184
```

Its density of states at the Fermi level is 7.3 states/eV/cell. The symmetry is I-42d. The value obtained for the energy above the most stable polymorph in this dataset is 0.269 eV/atom. The calculation puts the uncorrected formation energy at -363 meV per atom. The total DFT energy (no corrections) comes out at -29.3 eV/cell.

---

Record 7
A plane-wave DFT calculation with PBE-GGA was carried out for a relaxed SrLa2Br crystal.

The structure in extended XYZ format:
```
4
Lattice="0.000 4.179 4.179 4.179 0.000 4.179 4.179 4.179 0.000" Properties=species:S:1:pos:R:3 pbc="T T T"
Sr 4.179 4.179 4.179
Br 0.000 0.000 0.000
La 2.089 2.089 2.089
La 6.268 6.268 6.268
```

Its density of states at the Fermi level is 7.5 states/eV/cell. The symmetry is Fm-3m. The value obtained for the energy above the most stable polymorph in this dataset is 0.644 eV/atom. The calculation puts the uncorrected formation energy at 12 meV per atom. The total DFT energy (no corrections) comes out at -13.2 eV/cell.

---

Record 8
A plane-wave DFT calculation with PBE-GGA was carried out for a relaxed SrLa2Br crystal.

The structure in extended XYZ format:
```
4
Lattice="8.009 -0.010 0.000 5.355 5.956 0.000 -6.682 -2.973 3.265" Properties=species:S:1:pos:R:3 pbc="T T T"
Sr 2.677 2.978 1.632
Br 4.004 -0.005 1.632
La 0.000 0.000 0.000
La 6.682 2.973 0.000
```

Its density of states at the Fermi level is 5.1 states/eV/cell. The symmetry is I4/mmm. The value obtained for the energy above the most stable polymorph in this dataset is 0.366 eV/atom. The calculation puts the uncorrected formation energy at -266 meV per atom. The total DFT energy (no corrections) comes out at -14.3 eV/cell.